[1]
YCuBr2 | PBE | relaxed

a b c (Å): 8.2978 8.2978 4.7387
angles (deg): 73.41 73.41 25.91
Atoms (fractional coordinates):
Br 0.1113 0.1113 0.8889
Br 0.3887 0.3887 0.6111
Cu 0.2500 0.2500 0.2500
Y 0.7500 0.7500 0.7500

Calculated values
* uncorrected formation energy: -3.30 eV per formula unit
* space-group type: Immm (71)

---

[2]
AlW2Cl | PBE | relaxed

a b c (Å): 3.1078 3.1078 7.9721
angles (deg): 90.00 90.00 90.00
Atoms (fractional coordinates):
Al 0.0000 0.0000 0.4192
W 0.0000 0.0000 0.0401
W 0.5000 0.5000 0.2321
Cl 0.5000 0.5000 0.8087

Calculated values
* uncorrected formation energy: 1.00 eV per formula unit
* space-group type: P4mm (99)

---

Calculated total energy values, unit eV/atom, following the record order: -4.30 -7.62.
Energy above the most stable polymorph in this dataset values, unit eV per formula unit, following the record order: 0.36 0.07.